Run a
Crystalline Re2SiHg at its relaxed geometry, computed with PBE.

Cell: 4.439 4.439 4.439 Å, 60.00 60.00 60.00°
Fractional positions:
Re  0.250  0.250  0.250
Re  0.750  0.750  0.750
Si  0.000  0.000  0.000
Hg  0.500  0.500  0.500

**Magnetic moment**: 0.00 Bohr magnetons per cell


Run b
Crystalline Re2SiHg at its relaxed geometry, computed with PBE.

Cell: 2.923 4.564 4.835 Å, 90.00 90.00 90.00°
Fractional positions:
Re  0.000  0.000  0.000
Re  0.500  0.000  0.500
Si  0.000  0.500  0.500
Hg  0.500  0.500  0.000

**Magnetic moment**: 0.00 Bohr magnetons per cell


Run c
Crystalline Re2SiHg at its relaxed geometry, computed with PBE.

Cell: 2.749 2.749 10.790 Å, 90.00 90.00 116.47°
Fractional positions:
Re  0.000  0.000  0.000
Re  0.500  0.500  0.200
Si  0.500  0.500  0.795
Hg  0.000  0.000  0.464

**Magnetic moment**: 0.00 Bohr magnetons per cell


Run d
Crystalline Re2SiHg at its relaxed geometry, computed with PBE.

Cell: 5.439 5.439 5.439 Å, 148.54 130.05 60.23°
Fractional positions:
Re  0.210  0.210  0.000
Re  0.790  0.790  0.000
Si  0.000  0.500  0.500
Hg  0.500  0.000  0.500

**Magnetic moment**: 0.00 Bohr magnetons per cell


In meV/atom, relative to the most stable structure: run a 273; run b 314; run c 41; run d 0.


Run a
Crystalline Re3SiHg at its relaxed geometry, computed with PBE.

Cell: 4.905 4.905 4.905 Å, 90.00 90.00 90.00°
Fractional positions:
Re  0.000  0.000  0.500
Re  0.000  0.500  0.000
Re  0.500  0.000  0.000
Si  0.500  0.500  0.500
Hg  0.000  0.000  0.000

**Magnetic moment**: 4.19 Bohr magnetons per cell


Run b
Crystalline Re3SiHg at its relaxed geometry, computed with PBE.

Cell: 4.458 4.458 4.458 Å, 90.00 90.00 90.00°
Fractional positions:
Re  0.000  0.000  0.500
Re  0.000  0.500  0.000
Re  0.500  0.000  0.000
Si  0.000  0.000  0.000
Hg  0.500  0.500  0.500

**Magnetic moment**: 0.00 Bohr magnetons per cell


In meV/atom, relative to the most stable structure: run a 2086; run b 0.


Run a
Crystalline ReSn3Hg at its relaxed geometry, computed with PBE.

Cell: 5.229 5.229 5.229 Å, 90.00 90.00 90.00°
Fractional positions:
Re  0.000  0.000  0.000
Sn  0.000  0.000  0.500
Sn  0.000  0.500  0.000
Sn  0.500  0.000  0.000
Hg  0.500  0.500  0.500

**Magnetic moment**: 0.00 Bohr magnetons per cell


Run b
Crystalline ReSn3Hg at its relaxed geometry, computed with PBE.

Cell: 5.449 5.449 5.449 Å, 90.00 90.00 90.00°
Fractional positions:
Re  0.000  0.000  0.000
Sn  0.000  0.500  0.500
Sn  0.500  0.000  0.500
Sn  0.500  0.500  0.000
Hg  0.500  0.500  0.500

**Magnetic moment**: 3.71 Bohr magnetons per cell


In meV/atom, relative to the most stable structure: run a 0; run b 1379.


Run a
Crystalline SrReHg at its relaxed geometry, computed with PBE.

Cell: 5.128 5.128 5.128 Å, 60.00 60.00 60.00°
Fractional positions:
Sr  0.000  0.000  0.000
Re  0.250  0.250  0.250
Hg  0.750  0.750  0.750

**Magnetic moment**: 3.21 Bohr magnetons per cell


Run b
Crystalline SrReHg at its relaxed geometry, computed with PBE.

Cell: 7.599 7.599 7.599 Å, 157.24 157.24 32.41°
Fractional positions:
Sr  0.000  0.000  0.000
Re  0.331  0.331  0.000
Hg  0.683  0.683  0.000

**Magnetic moment**: 0.29 Bohr magnetons per cell


In meV/atom, relative to the most stable structure: run a 781; run b 0.


Run a
Crystalline SrRe3Hg at its relaxed geometry, computed with PBE.

Cell: 4.846 4.846 4.846 Å, 90.00 90.00 90.00°
Fractional positions:
Sr  0.000  0.000  0.000
Re  0.000  0.000  0.500
Re  0.000  0.500  0.000
Re  0.500  0.000  0.000
Hg  0.500  0.500  0.500

**Magnetic moment**: 2.78 Bohr magnetons per cell


Run b
Crystalline SrRe3Hg at its relaxed geometry, computed with PBE.

Cell: 5.047 5.047 5.047 Å, 90.00 90.00 90.00°
Fractional positions:
Sr  0.000  0.000  0.000
Re  0.000  0.500  0.500
Re  0.500  0.000  0.500
Re  0.500  0.500  0.000
Hg  0.500  0.500  0.500

**Magnetic moment**: 4.45 Bohr magnetons per cell


In meV/atom, relative to the most stable structure: run a 980; run b 0.


Run a
Crystalline Ta3ReHg at its relaxed geometry, computed with PBE.

Cell: 4.902 4.902 4.902 Å, 90.00 90.00 90.00°
Fractional positions:
Ta  0.000  0.000  0.500
Ta  0.000  0.500  0.000
Ta  0.500  0.000  0.000
Re  0.500  0.500  0.500
Hg  0.000  0.000  0.000

**Magnetic moment**: 0.00 Bohr magnetons per cell


Run b
Crystalline Ta3ReHg at its relaxed geometry, computed with PBE.

Cell: 4.863 4.863 4.863 Å, 90.00 90.00 90.00°
Fractional positions:
Ta  0.000  0.000  0.500
Ta  0.000  0.500  0.000
Ta  0.500  0.000  0.000
Re  0.000  0.000  0.000
Hg  0.500  0.500  0.500

**Magnetic moment**: 0.00 Bohr magnetons per cell


In meV/atom, relative to the most stable structure: run a 1456; run b 0.


Run a
Crystalline TaRe3Hg at its relaxed geometry, computed with PBE.

Cell: 4.799 4.799 4.799 Å, 90.00 90.00 90.00°
Fractional positions:
Ta  0.000  0.000  0.000
Re  0.000  0.000  0.500
Re  0.000  0.500  0.000
Re  0.500  0.000  0.000
Hg  0.500  0.500  0.500

**Magnetic moment**: 2.54 Bohr magnetons per cell


Run b
Crystalline TaRe3Hg at its relaxed geometry, computed with PBE.

Cell: 4.786 4.786 4.786 Å, 90.00 90.00 90.00°
Fractional positions:
Ta  0.000  0.000  0.000
Re  0.000  0.500  0.500
Re  0.500  0.000  0.500
Re  0.500  0.500  0.000
Hg  0.500  0.500  0.500

**Magnetic moment**: 0.00 Bohr magnetons per cell


In meV/atom, relative to the most stable structure: run a 0; run b 840.


Run a
Crystalline ReHgTe3 at its relaxed geometry, computed with PBE.

Cell: 5.569 5.569 5.569 Å, 90.00 90.00 90.00°
Fractional positions:
Re  0.000  0.000  0.000
Hg  0.500  0.500  0.500
Te  0.000  0.500  0.500
Te  0.500  0.000  0.500
Te  0.500  0.500  0.000

**Magnetic moment**: 4.52 Bohr magnetons per cell


Run b
Crystalline ReHgTe3 at its relaxed geometry, computed with PBE.

Cell: 5.310 5.310 5.310 Å, 90.00 90.00 90.00°
Fractional positions:
Re  0.000  0.000  0.000
Hg  0.500  0.500  0.500
Te  0.000  0.000  0.500
Te  0.000  0.500  0.000
Te  0.500  0.000  0.000

**Magnetic moment**: 0.00 Bohr magnetons per cell


In meV/atom, relative to the most stable structure: run a 1106; run b 0.